## ZrCuMo2C (PBE-GGA)

Data for an optimized crystal structure of ZrCuMo2C.

Cell: 4.790 3.497 4.790 Å, 90.00 90.00 90.00°
Fractional coordinates of all 5 atoms:
Cu1 0.000 0.000 0.000
C1 0.000 0.500 0.000
Zr1 0.500 0.500 0.500
Mo1 0.500 0.000 0.000
Mo2 0.000 0.000 0.500

- Energy of formation from the pure elements: 647 kJ/mol of formula units
- Calculated total energy: -7.364 eV per atom
- Fermi-level density of states: 4.43 states/eV/cell
- Magnetic moment: 0.00 μB per formula unit
- Symmetry: P4/mmm, No. 123